# Ba2ZnBiAu

Ba2ZnBiAu after structural relaxation (PBE-GGA, Alexandria via LeMat-Bulk).

Computed properties:
Space-group type   P4/mmm, No. 123
DFT total energy   -14.83 eV per formula unit
E_form   -511 meV/atom

Cell: 6.2360 6.2360 4.9662 Å, 90.00 90.00 90.00°
Positions (direct):
1 Ba 0.0000 0.5000 0.0000
2 Ba 0.5000 0.0000 0.0000
3 Zn 0.0000 0.0000 0.5000
4 Bi 0.5000 0.5000 0.5000
5 Au 0.0000 0.0000 0.0000

=====

# CaMn2Ru

CaMn2Ru after structural relaxation (PBE-GGA, Alexandria via LeMat-Bulk).

Computed properties:
Space-group type   Cm, No. 8
DFT total energy   -27.78 eV per formula unit
E_form   460 meV/atom

Cell: 8.8448 2.9698 5.5407 Å, 90.00 99.47 90.00°
Positions (direct):
1 Ca 0.0000 0.0000 0.0000
2 Ca 0.5000 0.5000 0.0000
3 Mn 0.2295 0.0000 0.6834
4 Mn 0.4904 0.0000 0.4872
5 Mn 0.7295 0.5000 0.6834
6 Mn 0.9904 0.5000 0.4872
7 Ru 0.2574 0.5000 0.3427
8 Ru 0.7574 0.0000 0.3427

=====

# Y2Cd5Hg12

Y2Cd5Hg12 after structural relaxation (PBE-GGA, Alexandria via LeMat-Bulk).

Computed properties:
Space-group type   C2/m, No. 12
DFT total energy   -22.94 eV per formula unit
E_form   -96 meV/atom

Cell: 8.9623 8.9623 6.4429 Å, 93.75 93.75 65.88°
Positions (direct):
1 Y 0.2384 0.7616 0.0000
2 Y 0.7616 0.2384 0.0000
3 Cd 0.0000 0.0000 0.5000
4 Cd 0.2263 0.2263 0.4970
5 Cd 0.3406 0.3406 0.1196
6 Cd 0.6594 0.6594 0.8804
7 Cd 0.7737 0.7737 0.5030
8 Hg 0.0664 0.5357 0.7995
9 Hg 0.1332 0.1332 0.9521
10 Hg 0.1531 0.6384 0.4017
11 Hg 0.3616 0.8469 0.5983
12 Hg 0.4538 0.4538 0.7216
13 Hg 0.4643 0.9336 0.2005
14 Hg 0.5357 0.0664 0.7995
15 Hg 0.5462 0.5462 0.2784
16 Hg 0.6384 0.1531 0.4017
17 Hg 0.8469 0.3616 0.5983
18 Hg 0.8668 0.8668 0.0479
19 Hg 0.9336 0.4643 0.2005

=====

# SrLiTbCl6

SrLiTbCl6 after structural relaxation (PBE-GGA, Alexandria via LeMat-Bulk).

Computed properties:
Energy relative to the elements, uncorrected   -2.240 eV/atom
Space-group type   P-31c, No. 163
DFT total energy   -39.47 eV per formula unit

Cell: 6.7657 6.7657 12.7480 Å, 90.00 90.00 120.00°
Positions (direct):
1 Sr 0.0000 0.0000 0.0000
2 Sr 0.0000 0.0000 0.5000
3 Li 0.3333 0.6667 0.2500
4 Li 0.6667 0.3333 0.7500
5 Tb 0.3333 0.6667 0.7500
6 Tb 0.6667 0.3333 0.2500
7 Cl 0.0053 0.3571 0.1337
8 Cl 0.0053 0.6482 0.3663
9 Cl 0.3518 0.3571 0.3663
10 Cl 0.3518 0.9947 0.1337
11 Cl 0.3571 0.0053 0.6337
12 Cl 0.3571 0.3518 0.8663
13 Cl 0.6429 0.6482 0.1337
14 Cl 0.6429 0.9947 0.3663
15 Cl 0.6482 0.0053 0.8663
16 Cl 0.6482 0.6429 0.6337
17 Cl 0.9947 0.3518 0.6337
18 Cl 0.9947 0.6429 0.8663

=====

# Sm2Sb3Pd

Sm2Sb3Pd after structural relaxation (PBE-GGA, Alexandria via LeMat-Bulk).

Computed properties:
Energy relative to the elements, uncorrected   1.276 eV/atom
Space-group type   P4/mmm, No. 123
DFT total energy   -19.34 eV per formula unit

Cell: 10.5177 10.5177 16.5902 Å, 90.00 90.00 90.00°
Positions (direct):
1 Sm 0.0000 0.0000 0.1757
2 Sm 0.0000 0.0000 0.8243
3 Sb 0.0000 0.0000 0.0000
4 Sb 0.0000 0.0000 0.3500
5 Sb 0.0000 0.0000 0.6500
6 Pd 0.0000 0.0000 0.5000

=====

# Ac2PuReN6

Ac2PuReN6 after structural relaxation (PBE-GGA, Alexandria via LeMat-Bulk).

Computed properties:
Energy relative to the elements, uncorrected   -0.740 eV/atom
Space-group type   R-3m, No. 166
DFT total energy   -92.34 eV per formula unit

Cell: 10.3767 10.3767 10.3767 Å, 33.05 33.05 33.05°
Positions (direct):
1 Ac 0.1344 0.1344 0.1344
2 Ac 0.2812 0.2812 0.2812
3 Ac 0.7188 0.7188 0.7188
4 Ac 0.8656 0.8656 0.8656
5 Pu 0.4088 0.4088 0.4088
6 Pu 0.5912 0.5912 0.5912
7 Re 0.0000 0.0000 0.0000
8 Re 0.5000 0.5000 0.5000
9 N 0.1343 0.6209 0.6209
10 N 0.1993 0.1993 0.7184
11 N 0.1993 0.7184 0.1993
12 N 0.2816 0.8007 0.8007
13 N 0.3791 0.3791 0.8657
14 N 0.3791 0.8657 0.3791
15 N 0.6209 0.1343 0.6209
16 N 0.6209 0.6209 0.1343
17 N 0.7184 0.1993 0.1993
18 N 0.8007 0.2816 0.8007
19 N 0.8007 0.8007 0.2816
20 N 0.8657 0.3791 0.3791

=====

# Pr4DyTl

Pr4DyTl after structural relaxation (PBE-GGA, Alexandria via LeMat-Bulk).

Computed properties:
Space-group type   P4/mmm, No. 123
DFT total energy   -26.70 eV per formula unit
E_form   -102 meV/atom

Cell: 3.7131 3.7131 14.6507 Å, 90.00 90.00 90.00°
Positions (direct):
1 Pr 0.0000 0.0000 0.1488
2 Pr 0.0000 0.0000 0.8512
3 Pr 0.5000 0.5000 0.3281
4 Pr 0.5000 0.5000 0.6719
5 Dy 0.0000 0.0000 0.5000
6 Tl 0.5000 0.5000 0.0000

=====

# LiNbSn2

LiNbSn2 after structural relaxation (PBE-GGA, Alexandria via LeMat-Bulk).

Computed properties:
Space-group type   P4/mmm, No. 123
DFT total energy   -20.42 eV per formula unit
E_form   -109 meV/atom

Cell: 3.5499 3.5499 6.2827 Å, 90.00 90.00 90.00°
Positions (direct):
1 Li 0.0000 0.0000 0.0000
2 Nb 0.0000 0.0000 0.5000
3 Sn 0.5000 0.5000 0.2488
4 Sn 0.5000 0.5000 0.7512